# 1
The following is a PBE calculation of Ho4Tl2C after structural relaxation, from Alexandria via LeMat-Bulk.

Total moment   0.00 μB/f.u.
Energy above the lowest structure with this stoichiometry   0 meV/atom
Symmetry   I4/mmm, No. 139
Energy of formation   -0.343 eV/atom
Density of states at the Fermi level   4.173 states/eV/cell

a = 4.922 Å, b = 4.922 Å, c = 15.074 Å
α = 90.00°, β = 90.00°, γ = 90.00°
Positions (direct):
Ho: 0.000 0.000 0.162
Ho: 0.000 0.000 0.838
Ho: 0.000 0.500 0.000
Ho: 0.000 0.500 0.500
Ho: 0.500 0.000 0.000
Ho: 0.500 0.000 0.500
Ho: 0.500 0.500 0.338
Ho: 0.500 0.500 0.662
Tl: 0.000 0.000 0.368
Tl: 0.000 0.000 0.632
Tl: 0.500 0.500 0.132
Tl: 0.500 0.500 0.868
C: 0.000 0.000 0.000
C: 0.500 0.500 0.500

---

# 2
The following is a PBE calculation of Hf2FeIr after structural relaxation, from Alexandria via LeMat-Bulk.

Total moment   0.72 μB/f.u.
Energy above the lowest structure with this stoichiometry   15 meV/atom
Symmetry   P4/mmm, No. 123
Energy of formation   -0.641 eV/atom
Density of states at the Fermi level   1.923 states/eV/cell

a = 4.530 Å, b = 4.530 Å, c = 3.268 Å
α = 90.00°, β = 90.00°, γ = 90.00°
Positions (direct):
Hf: 0.000 0.500 0.000
Hf: 0.500 0.000 0.000
Fe: 0.000 0.000 0.500
Ir: 0.500 0.500 0.500

---

# 3
The following is a PBE calculation of ZrTa3Re after structural relaxation, from Alexandria via LeMat-Bulk.

Total moment   0.00 μB/f.u.
Energy above the lowest structure with this stoichiometry   1323 meV/atom
Symmetry   Pm-3m, No. 221
Energy of formation   2.373 eV/atom
Density of states at the Fermi level   7.461 states/eV/cell

a = 4.761 Å, b = 4.761 Å, c = 4.761 Å
α = 90.00°, β = 90.00°, γ = 90.00°
Positions (direct):
Zr: 0.000 0.000 0.000
Ta: 0.000 0.000 0.500
Ta: 0.000 0.500 0.000
Ta: 0.500 0.000 0.000
Re: 0.500 0.500 0.500